The following is a DFT calculation (PBE) of an optimized crystal structure of BeTeAu2.

```
BeTeAu2
1.0
-2.3747 2.3747 7.6780
2.3747 -2.3747 7.6780
2.3747 2.3747 -7.6780
Be Te Au
2 2 4
Direct
0.0000 0.0000 0.0000 Be
0.7500 0.2500 0.5000 Be
0.2500 0.7500 0.5000 Te
0.5000 0.5000 0.0000 Te
0.0424 0.6250 0.9174 Au
0.3750 0.2924 0.4174 Au
0.7076 0.1250 0.0826 Au
0.8750 0.9576 0.5826 Au
```

Output
Distance to the lowest polymorph of the same formula ... 143 meV per atom
Raw formation energy ... 0.169 eV per atom
E ... -3.1868 eV per atom

The following is a DFT calculation (PBE) of an optimized crystal structure of Be2TeAu.

```
Be2TeAu
1.0
-1.7324 1.7324 6.3397
1.7324 -1.7324 6.3397
1.7324 1.7324 -6.3397
Be Te Au
2 1 1
Direct
0.0000 0.0000 0.0000 Be
0.7500 0.2500 0.5000 Be
0.2500 0.7500 0.5000 Te
0.5000 0.5000 0.0000 Au
```

Output
Raw formation energy ... 0.418 eV per atom
E ... -3.0495 eV per atom

The following is a DFT calculation (PBE) of an optimized crystal structure of BeTeAu2.

```
BeTeAu2
1.0
3.9062 0.0000 0.0000
0.0000 3.9745 0.0000
-0.2883 0.0000 5.7274
Be Te Au
1 1 2
Direct
0.0000 0.0000 0.0000 Be
0.0843 0.5000 0.2475 Te
0.4853 0.0000 0.7512 Au
0.9811 0.5000 0.7288 Au
```

Output
Distance to the lowest polymorph of the same formula ... 0 meV per atom
Raw formation energy ... 0.026 eV per atom
E ... -3.3296 eV per atom